! CoRh2PbO | Alexandria | GGA+U | optimized geometry; values from VASP
! Density, Mg/m³: 7.47
! Electronic total energy, hartree per atom: -0.162
! Density of states at the Fermi level, states/eV per atom: 1.466
&SYSTEM
  ibrav = 0, nat = 5, ntyp = 4
/
ATOMIC_SPECIES
Co 58.93 Co.upf
Rh 102.91 Rh.upf
Pb 207.20 Pb.upf
O 16.00 O.upf
CELL_PARAMETERS angstrom
5.091 0.000 0.000
0.000 5.091 0.000
0.000 0.000 4.187
ATOMIC_POSITIONS crystal
Co 0.000 0.000 0.000
Rh 0.000 0.500 0.500
Rh 0.500 0.000 0.500
Pb 0.500 0.500 0.500
O 0.500 0.500 0.000